1.
Ni3PdPt2 | GGA-PBE | optimized geometry

Lattice parameters (Å, degrees): 5.027 5.027 6.620 98.55 98.55 93.78
Positions (direct):
Ni  0.080  0.920  0.750
Ni  0.145  0.322  0.001
Ni  0.322  0.145  0.501
Ni  0.678  0.855  0.499
Ni  0.855  0.678  0.999
Ni  0.920  0.080  0.250
Pd  0.423  0.577  0.750
Pd  0.577  0.423  0.250
Pt  0.113  0.634  0.374
Pt  0.366  0.887  0.126
Pt  0.634  0.113  0.874
Pt  0.887  0.366  0.626

Properties
As for the spin magnetization: 0.565 μB/atom. The energy of formation comes out at 0.041 eV/atom. Its density of states at the Fermi level is 10.1 states/eV/f.u. The value obtained for the energy above the most stable polymorph in this dataset is 0 meV/atom.


2.
Ni15Pd2Pt2 | GGA-PBE | optimized geometry

Lattice parameters (Å, degrees): 6.232 6.232 6.232 82.58 82.58 82.58
Positions (direct):
Ni  0.000  0.000  0.500
Ni  0.000  0.306  0.694
Ni  0.000  0.500  0.000
Ni  0.000  0.694  0.306
Ni  0.160  0.647  0.647
Ni  0.306  0.000  0.694
Ni  0.306  0.694  0.000
Ni  0.353  0.353  0.840
Ni  0.353  0.840  0.353
Ni  0.500  0.000  0.000
Ni  0.647  0.160  0.647
Ni  0.647  0.647  0.160
Ni  0.694  0.000  0.306
Ni  0.694  0.306  0.000
Ni  0.840  0.353  0.353
Pd  0.359  0.359  0.359
Pd  0.641  0.641  0.641
Pt  0.108  0.108  0.108
Pt  0.892  0.892  0.892

Properties
As for the spin magnetization: 0.587 μB/atom. The energy of formation comes out at 0.130 eV/atom. Its density of states at the Fermi level is 34.8 states/eV/f.u.


3.
Ni4PdPt7 | GGA-PBE | optimized geometry

Lattice parameters (Å, degrees): 5.578 5.578 9.086 118.00 118.00 50.74
Positions (direct):
Ni  0.068  0.068  0.267
Ni  0.221  0.221  0.813
Ni  0.779  0.779  0.187
Ni  0.932  0.932  0.733
Pd  0.500  0.500  0.500
Pt  0.000  0.000  0.500
Pt  0.156  0.156  0.053
Pt  0.287  0.287  0.581
Pt  0.452  0.452  0.122
Pt  0.548  0.548  0.878
Pt  0.713  0.713  0.419
Pt  0.844  0.844  0.947

Properties
As for the spin magnetization: 0.199 μB/atom. The energy of formation comes out at 0.277 eV/atom. Its density of states at the Fermi level is 21.1 states/eV/f.u.


4.
Ni5Pd2Pt2 | GGA-PBE | optimized geometry

Lattice parameters (Å, degrees): 5.887 5.887 5.902 107.55 107.55 37.52
Positions (direct):
Ni  0.000  0.000  0.000
Ni  0.219  0.219  0.319
Ni  0.333  0.333  0.004
Ni  0.667  0.667  0.996
Ni  0.781  0.781  0.681
Pd  0.120  0.120  0.677
Pd  0.880  0.880  0.323
Pt  0.438  0.438  0.679
Pt  0.562  0.562  0.321

Properties
As for the spin magnetization: 0.563 μB/atom. The energy of formation comes out at -0.026 eV/atom. Its density of states at the Fermi level is 15.3 states/eV/f.u.


Question: Look up the energy of formation of the third one.
Answer: 0.277 eV/atom


Please write out number 3 again, unchanged.
Ni4PdPt7 | GGA-PBE | optimized geometry

Lattice parameters (Å, degrees): 5.578 5.578 9.086 118.00 118.00 50.74
Positions (direct):
Ni  0.068  0.068  0.267
Ni  0.221  0.221  0.813
Ni  0.779  0.779  0.187
Ni  0.932  0.932  0.733
Pd  0.500  0.500  0.500
Pt  0.000  0.000  0.500
Pt  0.156  0.156  0.053
Pt  0.287  0.287  0.581
Pt  0.452  0.452  0.122
Pt  0.548  0.548  0.878
Pt  0.713  0.713  0.419
Pt  0.844  0.844  0.947

Properties
As for the spin magnetization: 0.199 μB/atom. The energy of formation comes out at 0.277 eV/atom. Its density of states at the Fermi level is 21.1 states/eV/f.u.


Question: Number 4 is which compound?
Answer: Ni5Pd2Pt2


Question: Number 2 is which compound?
Answer: Ni15Pd2Pt2